Material: TlTe2H
Method: DFT, PBE-GGA
State: relaxed

The energy above the lowest structure with this stoichiometry is 0.0000 eV per atom.

The space group is P-1 (No. 2) and the conventional cell measures 5.020, 6.382 and 16.326 Å, with angles of 89.93, 81.16 and 89.96 degrees. Symmetry generates all atoms from Tl at (0.101, 0.256, 0.304), Tl at (0.396, 0.756, 0.196), Te at (0.080, 0.537, 0.858), Te at (0.150, 0.371, 0.569), Te at (0.351, 0.870, 0.931), Te at (0.423, 0.038, 0.642), H at (0.153, 0.760, 0.411) and H at (0.345, 0.261, 0.089).

=====

Material: Pr3GaCu2Pd9
Method: DFT, PBE-GGA
State: relaxed

The calculation puts the formation energy at -5.05 eV/f.u.

The space group is P-3m1 (No. 164) and the conventional cell measures 7.4901, 7.4901 and 6.3843 Å, with angles of 90.00, 90.00 and 120.00 degrees. Symmetry generates all atoms from Pr at (0.0000, 0.0000, 0.0000), Pr at (0.3333, 0.6667, 0.6700), Ga at (0.0000, 0.0000, 0.5000), Cu at (0.3333, 0.6667, 0.1673), Pd at (0.0000, 0.5000, 0.0000) and Pd at (0.1654, 0.3307, 0.3302).